1) # SmYErTh

A geometry-optimized SmYErTh structure (GGA-PBE, the Alexandria database).

```
SmYErTh
1.0
0.0000 4.0230 4.0230
4.0230 0.0000 4.0230
4.0230 4.0230 0.0000
Sm Y Er Th
1 1 1 1
Direct
0.0000 0.0000 0.0000 Sm
0.7500 0.7500 0.7500 Y
0.2500 0.2500 0.2500 Er
0.5000 0.5000 0.5000 Th
```

Values from the calculation:
SG: F-43m

***

2) # SmYErTh

A geometry-optimized SmYErTh structure (GGA-PBE, the Alexandria database).

```
SmYErTh
1.0
1.7998 1.0391 11.4993
-1.7998 1.0391 11.4993
0.0000 -2.0782 11.4993
Sm Y Er Th
1 1 1 1
Direct
0.0000 0.0000 0.0000 Sm
0.7523 0.7523 0.7523 Y
0.1691 0.1691 0.1691 Er
0.5839 0.5839 0.5839 Th
```

Values from the calculation:
SG: R3m

***

The structure with the greatest stability is 2).

***

1) # Sm2Er2Tl

A geometry-optimized Sm2Er2Tl structure (GGA-PBE, the Alexandria database).

```
Sm2Er2Tl
1.0
4.2481 -4.7468 0.0000
4.2481 4.7468 0.0000
-3.7944 0.0000 7.6431
Sm Er Tl
4 4 2
Direct
0.1089 0.7367 0.7865 Sm
0.2633 0.8911 0.2135 Sm
0.7367 0.1089 0.7865 Sm
0.8911 0.2633 0.2135 Sm
0.2225 0.2225 0.6134 Er
0.3441 0.3441 0.0670 Er
0.6559 0.6559 0.9330 Er
0.7775 0.7775 0.3866 Er
0.3313 0.6687 0.5000 Tl
0.6687 0.3313 0.5000 Tl
```

Values from the calculation:
SG: C2/m

***

2) # Sm2Er2Tl

A geometry-optimized Sm2Er2Tl structure (GGA-PBE, the Alexandria database).

```
Sm2Er2Tl
1.0
5.4465 0.0000 0.0000
-2.7232 4.7168 0.0000
0.0000 0.0000 12.1464
Sm Er Tl
4 4 2
Direct
0.3333 0.6667 0.0857 Sm
0.3333 0.6667 0.4143 Sm
0.6667 0.3333 0.5857 Sm
0.6667 0.3333 0.9143 Sm
0.0000 0.0000 0.0000 Er
0.0000 0.0000 0.5000 Er
0.3333 0.6667 0.7500 Er
0.6667 0.3333 0.2500 Er
0.0000 0.0000 0.2500 Tl
0.0000 0.0000 0.7500 Tl
```

Values from the calculation:
SG: P6_3/mmc

***

The structure with the greatest stability is 1).

***

1) # Sm3ErTl4

A geometry-optimized Sm3ErTl4 structure (GGA-PBE, the Alexandria database).

```
Sm3ErTl4
1.0
10.8126 0.0000 0.0000
0.0000 6.5474 0.0000
0.0000 0.0000 6.6215
Sm Er Tl
6 2 8
Direct
0.0000 0.0640 0.0000 Sm
0.2437 0.7416 0.1803 Sm
0.2563 0.2584 0.6803 Sm
0.5000 0.9360 0.5000 Sm
0.7437 0.2584 0.6803 Sm
0.7563 0.7416 0.1803 Sm
0.0000 0.5556 0.8519 Er
0.5000 0.4444 0.3519 Er
0.0000 0.0104 0.4913 Tl
0.0000 0.5008 0.3688 Tl
0.2427 0.7582 0.6804 Tl
0.2573 0.2418 0.1804 Tl
0.5000 0.4992 0.8688 Tl
0.5000 0.9896 0.9913 Tl
0.7427 0.2418 0.1804 Tl
0.7573 0.7582 0.6804 Tl
```

Values from the calculation:
SG: Pmn2_1

***

2) # Sm3ErTl4

A geometry-optimized Sm3ErTl4 structure (GGA-PBE, the Alexandria database).

```
Sm3ErTl4
1.0
3.8275 0.0000 0.0000
0.0000 3.8275 0.0000
0.0000 0.0000 15.4374
Sm Er Tl
3 1 4
Direct
0.0000 0.0000 0.0000 Sm
0.0000 0.0000 0.2546 Sm
0.0000 0.0000 0.7454 Sm
0.0000 0.0000 0.5000 Er
0.5000 0.5000 0.1276 Tl
0.5000 0.5000 0.3824 Tl
0.5000 0.5000 0.6176 Tl
0.5000 0.5000 0.8724 Tl
```

Values from the calculation:
SG: P4/mmm

***

The structure with the greatest stability is 2).